Below is an optimized crystal structure of Tb3Y2Cd3, with properties calculated at the PBE level.

Output
- Space group: No. 71

a = 3.751 Å, b = 5.375 Å, c = 11.591 Å
α = 103.41°, β = 99.31°, γ = 90.00°
Element x y z (fractional)
Y  0.267  0.767  0.534
Tb  0.622  0.622  0.245
Cd  0.000  0.500  0.000
Tb  0.500  0.000  0.000
Tb  0.378  0.378  0.755
Y  0.733  0.233  0.466
Cd  0.117  0.117  0.234
Cd  0.883  0.883  0.766



Below is an optimized crystal structure of TaFeCu, with properties calculated at the PBE level.

Output
- Space group: No. 42

a = 6.325 Å, b = 6.221 Å, c = 2.683 Å
α = 79.82°, β = 75.51°, γ = 24.67°
Last column: magnetic moment on the atom in μB.
Element x y z (fractional)
Cu  0.992  0.992  0.008  0.04
Ta  0.668  0.668  0.332  -0.12
Fe  0.340  0.340  0.660  2.37



In μB per formula unit, the spin magnetization values for the records above are, in order, 0.0, 2.2.
In eV/atom, the electronic total energy values for the records above are, in order, -3.934, -7.990.
In eV per atom, the energy relative to the elements values for the records above are, in order, -0.238, 0.148.